Below is crystalline Pr5BN6 at its relaxed geometry, with properties calculated at the GGA-PBE level.

As for the symmetry: C2/m. The value obtained for the formation energy without anion corrections is -867 meV per atom. The energy is -90.9 eV per cell. The theoretical density is 4.94 g/cm³. As for the crystal system: monoclinic.

Cell: 7.089 7.089 6.890 Å, 95.45 95.45 127.45°
Fractional positions:
Pr: 0.000 0.000 0.000
Pr: 0.127 0.873 0.500
Pr: 0.295 0.705 0.000
Pr: 0.705 0.295 0.000
Pr: 0.873 0.127 0.500
B: 0.500 0.500 0.500
N: 0.022 0.709 0.162
N: 0.279 0.279 0.427
N: 0.291 0.978 0.838
N: 0.709 0.022 0.162
N: 0.721 0.721 0.573
N: 0.978 0.291 0.838

Below is crystalline PrBN3 at its relaxed geometry, with properties calculated at the GGA-PBE level.

As for the symmetry: P2_1/m. The value obtained for the formation energy without anion corrections is -210 meV per atom. The energy is -75.0 eV per cell. The theoretical density is 6.26 g/cm³. As for the crystal system: monoclinic.

Cell: 2.996 4.751 7.256 Å, 90.00 95.52 90.00°
Fractional positions:
Pr: 0.214 0.250 0.215
Pr: 0.786 0.750 0.785
B: 0.287 0.250 0.605
B: 0.713 0.750 0.395
N: 0.232 0.750 0.474
N: 0.320 0.750 0.069
N: 0.339 0.250 0.806
N: 0.661 0.750 0.194
N: 0.680 0.250 0.931
N: 0.768 0.250 0.526

Below is crystalline Pr3BN4 at its relaxed geometry, with properties calculated at the GGA-PBE level.

As for the symmetry: Pmn2_1. The value obtained for the formation energy without anion corrections is -789 meV per atom. The energy is -121.3 eV per cell. The theoretical density is 6.29 g/cm³. As for the crystal system: orthorhombic.

Cell: 7.271 6.489 5.480 Å, 90.00 90.00 90.00°
Fractional positions:
Pr: 0.000 0.115 0.000
Pr: 0.242 0.336 0.498
Pr: 0.258 0.664 0.998
Pr: 0.500 0.885 0.500
Pr: 0.742 0.664 0.998
Pr: 0.758 0.336 0.498
B: 0.000 0.826 0.473
B: 0.500 0.174 0.973
N: 0.000 0.082 0.528
N: 0.000 0.795 0.184
N: 0.193 0.715 0.574
N: 0.307 0.285 0.074
N: 0.500 0.205 0.684
N: 0.500 0.918 0.028
N: 0.693 0.285 0.074
N: 0.807 0.715 0.574